6
Lattice="0.0000 4.7068 4.7068 4.7068 0.0000 4.7068 4.7068 4.7068 0.0000" Properties=species:S:1:pos:R:3 comment="Ca4ZnSe | the Alexandria database | PBE | optimized geometry" n_ef_per_ev_atom=1.24 total_energy_ev_per_atom=-1.938 raw_formation_energy_mev_per_atom=190 mass_density_g_cm3=2.4 pbc="T T T"
Ca 5.8822 3.5314 5.8822
Ca 3.5314 5.8822 5.8822
Ca 5.8822 5.8822 3.5314
Ca 3.5314 3.5314 3.5314
Zn 0.0000 0.0000 0.0000
Se 7.0602 7.0602 7.0602